A geometry-optimized TlFeW2 structure, computed with GGA-PBE.

Cell lengths 3.898, 3.898, 4.305 Å; angles 90.00, 90.00, 90.00 degrees
Space group P4/mmm (No. 123)
One atom of each set of equivalent atoms:
1 Tl 0.000 0.000 0.000 (multiplicity 1)
2 Fe 0.500 0.500 0.000 (multiplicity 1)
3 W 0.000 0.500 0.500 (multiplicity 2)

Summary:
For the offset from the most stable computed form, the calculation gives 101 meV/atom. For the energy of formation from the pure elements, the calculation gives 0.720 eV per atom. The value obtained for the total energy is -8.46 eV/atom. The density of states at the Fermi level comes out at 1.9 states/eV/f.u.

A geometry-optimized Tl3FeW structure, computed with GGA-PBE.

Cell lengths 5.391, 5.391, 5.391 Å; angles 90.00, 90.00, 90.00 degrees
Space group Pm-3m (No. 221)
One atom of each set of equivalent atoms:
1 Tl 0.000 0.000 0.500 (multiplicity 3)
2 Fe 0.500 0.500 0.500 (multiplicity 1)
3 W 0.000 0.000 0.000 (multiplicity 1)

Summary:
For the offset from the most stable computed form, the calculation gives 0 meV/atom. For the energy of formation from the pure elements, the calculation gives 1.450 eV per atom. The value obtained for the total energy is -4.25 eV/atom. The density of states at the Fermi level comes out at 8.3 states/eV/f.u.

A geometry-optimized Tl2FeW structure, computed with GGA-PBE.

Cell lengths 6.017, 8.490, 2.970 Å; angles 90.00, 90.00, 90.00 degrees
Space group Cmmm (No. 65)
One atom of each set of equivalent atoms:
1 Tl 0.250 0.250 0.000 (multiplicity 4)
2 Fe 0.000 0.000 0.500 (multiplicity 2)
3 W 0.000 0.500 0.500 (multiplicity 2)

Summary:
For the offset from the most stable computed form, the calculation gives 468 meV/atom. For the energy of formation from the pure elements, the calculation gives 1.012 eV per atom. The value obtained for the total energy is -5.52 eV/atom. The density of states at the Fermi level comes out at 4.8 states/eV/f.u.

A geometry-optimized Tl2FeW structure, computed with GGA-PBE.

Cell lengths 3.046, 3.070, 8.718 Å; angles 90.00, 99.94, 90.00 degrees
Space group Pm (No. 6)
One atom of each set of equivalent atoms:
1 Tl 0.000 0.000 0.000 (multiplicity 1)
2 Tl 0.179 0.500 0.348 (multiplicity 1)
3 Fe 0.797 0.000 0.591 (multiplicity 1)
4 W 0.367 0.500 0.735 (multiplicity 1)

Summary:
For the offset from the most stable computed form, the calculation gives 0 meV/atom. For the energy of formation from the pure elements, the calculation gives 0.544 eV per atom. The value obtained for the total energy is -5.99 eV/atom. The density of states at the Fermi level comes out at 3.3 states/eV/f.u.

A geometry-optimized Tl2FeW structure, computed with GGA-PBE.

Cell lengths 4.074, 4.074, 9.163 Å; angles 90.00, 90.00, 90.00 degrees
Space group I-4m2 (No. 119)
One atom of each set of equivalent atoms:
1 Tl 0.000 0.000 0.000 (multiplicity 2)
2 Tl 0.000 0.500 0.250 (multiplicity 2)
3 Fe 0.000 0.000 0.500 (multiplicity 2)
4 W 0.000 0.500 0.750 (multiplicity 2)

Summary:
For the offset from the most stable computed form, the calculation gives 515 meV/atom. For the energy of formation from the pure elements, the calculation gives 1.059 eV per atom. The value obtained for the total energy is -5.48 eV/atom. The density of states at the Fermi level comes out at 3.9 states/eV/f.u.

A geometry-optimized TlFeW2 structure, computed with GGA-PBE.

Cell lengths 4.051, 4.071, 7.962 Å; angles 90.00, 90.00, 90.00 degrees
Space group Cmm2 (No. 35)
One atom of each set of equivalent atoms:
1 Tl 0.000 0.000 0.000 (multiplicity 2)
2 Fe 0.000 0.500 0.745 (multiplicity 2)
3 W 0.000 0.000 0.556 (multiplicity 2)
4 W 0.000 0.500 0.299 (multiplicity 2)

Summary:
For the offset from the most stable computed form, the calculation gives 0 meV/atom. For the energy of formation from the pure elements, the calculation gives 0.619 eV per atom. The value obtained for the total energy is -8.56 eV/atom. The density of states at the Fermi level comes out at 3.5 states/eV/f.u.

A geometry-optimized Tl2FeW structure, computed with GGA-PBE.

Cell lengths 4.235, 4.235, 4.187 Å; angles 90.00, 90.00, 90.00 degrees
Space group P4/mmm (No. 123)
One atom of each set of equivalent atoms:
1 Tl 0.000 0.500 0.000 (multiplicity 2)
2 Fe 0.000 0.000 0.500 (multiplicity 1)
3 W 0.500 0.500 0.500 (multiplicity 1)

Summary:
For the offset from the most stable computed form, the calculation gives 515 meV/atom. For the energy of formation from the pure elements, the calculation gives 1.059 eV per atom. The value obtained for the total energy is -5.48 eV/atom. The density of states at the Fermi level comes out at 4.1 states/eV/f.u.

A geometry-optimized Tl2FeW structure, computed with GGA-PBE.

Cell lengths 3.2987, 3.2987, 26.7868 Å; angles 90.00, 90.00, 120.00 degrees
Space group R3m (No. 160, hexagonal axes)
One atom of each set of equivalent atoms:
1 Tl 0.0000 0.0000 0.0000 (multiplicity 3)
2 Tl 0.0000 0.0000 0.2293 (multiplicity 3)
3 Fe 0.0000 0.0000 0.4770 (multiplicity 3)
4 W 0.0000 0.0000 0.7612 (multiplicity 3)

Summary:
For the offset from the most stable computed form, the calculation gives 100 meV/atom. For the energy of formation from the pure elements, the calculation gives 0.644 eV per atom. The value obtained for the total energy is -5.89 eV/atom. The density of states at the Fermi level comes out at 3.1 states/eV/f.u.